Entry 1:
SrLiPm2S4 GGA-PBE optimized geometry; calculated total energy = -5.6359 eV per atom
1.0
-3.628 1.401 1.048
-1.055 -6.198 -3.109
1.104 -6.394 12.373
S Li Pm Sr
8 2 4 2
Direct
0.271 0.543 0.379
0.729 0.457 0.879
0.000 0.000 0.500
0.729 0.457 0.621
0.445 0.890 0.750
0.000 0.000 0.000
0.271 0.543 0.121
0.555 0.110 0.250
0.846 0.692 0.750
0.154 0.308 0.250
0.629 0.259 0.057
0.371 0.741 0.557
0.371 0.741 0.943
0.629 0.259 0.443
0.885 0.769 0.250
0.115 0.231 0.750


Entry 2:
Pb3Se GGA-PBE optimized geometry; calculated total energy = -3.7685 eV per atom
1.0
6.762 0.000 0.000
0.000 7.092 0.000
0.000 0.000 10.063
Pb Se
12 4
Direct
0.066 0.261 0.452
0.566 0.239 0.548
0.566 0.239 0.952
0.934 0.739 0.952
0.434 0.761 0.048
0.434 0.761 0.452
0.066 0.261 0.048
0.680 0.452 0.250
0.320 0.548 0.750
0.934 0.739 0.548
0.820 0.952 0.250
0.180 0.048 0.750
0.622 0.874 0.750
0.378 0.126 0.250
0.122 0.626 0.250
0.878 0.374 0.750


Entry 3:
Tm6CuTe3Se2 GGA-PBE optimized geometry; calculated total energy = -5.1870 eV per atom
1.0
-4.709 2.430 -4.856
-2.277 -1.926 6.539
3.316 6.316 1.706
Se Tm Te Cu
2 6 3 1
Direct
0.665 0.335 0.000
0.335 0.665 0.000
0.929 0.617 0.785
0.237 0.237 0.778
0.617 0.929 0.785
0.763 0.763 0.222
0.071 0.383 0.215
0.383 0.071 0.215
0.176 0.824 0.500
0.500 0.500 0.500
0.824 0.176 0.500
0.000 0.000 0.000


Entry 4:
TlGe2Bi2 GGA-PBE optimized geometry; calculated total energy = -3.6502 eV per atom; relative energy among the computed polymorphs = 0.064 eV per atom; DFT formation energy = 222 meV per atom
1.0
8.775 0.000 0.000
0.000 8.775 0.000
0.000 0.000 3.798
Tl Ge Bi
2 4 4
Direct
0.000 0.000 0.000
0.500 0.500 0.000
0.126 0.626 0.500
0.874 0.374 0.500
0.374 0.126 0.500
0.626 0.874 0.500
0.853 0.647 0.000
0.147 0.353 0.000
0.647 0.147 0.000
0.353 0.853 0.000


| no. | density (kg/m³) | total moment (μB/atom) |
| --- | --- | --- |
| 1 | 4505 | 0.00 |
| 2 | 9642 | 0.00 |
| 3 | 8641 | 0.00 |
| 4 | 8717 | 0.00 |